<P>
Density functional theory data (PBE-GGA) for a relaxed structure of MgCuHIr2.

a b c (Å): 3.879 3.879 4.031
angles (deg): 90.00 90.00 90.00
Fractional positions:
Ir1 0.000 0.500 0.000
Mg1 0.000 0.000 0.500
Cu1 0.500 0.500 0.500
Ir2 0.500 0.000 0.000
H1 0.000 0.000 0.000

Summary:
DOS at the Fermi energy in states/eV per atom: 0.8992

=====

<Q>
Density functional theory data (PBE-GGA) for a relaxed structure of MgCuHIr2.

a b c (Å): 3.943 3.943 3.882
angles (deg): 90.00 90.00 90.00
Fractional positions:
Ir1 0.000 0.500 0.000
Ir2 0.500 0.000 0.000
H1 0.000 0.000 0.000
Mg1 0.500 0.500 0.500
Cu1 0.000 0.000 0.500

Summary:
DOS at the Fermi energy in states/eV per atom: 0.9701

=====

<Q> ends up most stable, edging out the next structure by 0.7 kJ/mol of atoms.